1.
DFT (PBE) results for a relaxed structure of TlInI4.

Calculated values
Theoretical density = 4.33 Mg/m³
Total DFT energy (no corrections) = -2.4480 eV per atom
Space-group type = No. 15

a = 7.8332 Å, b = 7.8332 Å, c = 10.6134 Å
α = 95.58°, β = 95.58°, γ = 78.93°
Fractional coordinates of all 12 atoms:
Tl 0.0000 0.5000 0.0000
Tl 0.5000 0.0000 0.5000
In 0.1445 0.8555 0.7500
In 0.8555 0.1445 0.2500
I 0.1880 0.1967 0.7365
I 0.1967 0.1880 0.2365
I 0.2735 0.6644 0.5368
I 0.3356 0.7265 0.9632
I 0.6644 0.2735 0.0368
I 0.7265 0.3356 0.4632
I 0.8033 0.8120 0.7635
I 0.8120 0.8033 0.2635

2.
DFT (PBE) results for a relaxed structure of Tl2InI.

Calculated values
Theoretical density = 7.64 Mg/m³
ΔE to the lowest computed polymorph = 44 meV per atom
Space-group type = No. 160

a = 9.7765 Å, b = 9.7765 Å, c = 9.7765 Å
α = 24.51°, β = 24.51°, γ = 24.51°
Fractional coordinates of all 4 atoms:
Tl 0.0000 0.0000 0.0000
Tl 0.1717 0.1717 0.1717
In 0.5874 0.5874 0.5874
I 0.4186 0.4186 0.4186

3.
DFT (PBE) results for a relaxed structure of Tl2InI4.

Calculated values
Theoretical density = 5.51 Mg/m³
ΔE to the lowest computed polymorph = 10 meV per atom
Space-group type = No. 12

a = 8.6952 Å, b = 8.6952 Å, c = 9.3045 Å
α = 117.54°, β = 117.54°, γ = 30.20°
Fractional coordinates of all 7 atoms:
Tl 0.2083 0.2083 0.1868
Tl 0.7917 0.7917 0.8132
In 0.5000 0.5000 0.5000
I 0.1357 0.1357 0.5013
I 0.3951 0.3951 0.1201
I 0.6049 0.6049 0.8799
I 0.8643 0.8643 0.4987

4.
DFT (PBE) results for a relaxed structure of Tl2InI.

Calculated values
Theoretical density = 5.73 Mg/m³
ΔE to the lowest computed polymorph = 146 meV per atom
Space-group type = No. 122

a = 9.2702 Å, b = 9.2702 Å, c = 9.2702 Å
α = 136.17°, β = 136.17°, γ = 63.72°
Fractional coordinates of all 8 atoms:
Tl 0.0753 0.6250 0.9503
Tl 0.3750 0.3253 0.4503
Tl 0.6747 0.1250 0.0497
Tl 0.8750 0.9247 0.5497
In 0.0000 0.0000 0.0000
In 0.7500 0.2500 0.5000
I 0.2500 0.7500 0.5000
I 0.5000 0.5000 0.0000

5.
DFT (PBE) results for a relaxed structure of Tl5InI7.

Calculated values
Theoretical density = 5.88 Mg/m³
Total DFT energy (no corrections) = -2.5795 eV per atom
Space-group type = No. 38

a = 30.0161 Å, b = 8.6332 Å, c = 8.6332 Å
α = 30.73°, β = 90.00°, γ = 90.00°
Fractional coordinates of all 26 atoms:
Tl 0.1015 0.0000 0.0000
Tl 0.1764 0.7206 0.7206
Tl 0.2497 0.4244 0.4244
Tl 0.3234 0.1286 0.1286
Tl 0.3984 0.8493 0.8493
Tl 0.6016 0.8493 0.8493
Tl 0.6766 0.1286 0.1286
Tl 0.7503 0.4244 0.4244
Tl 0.8236 0.7206 0.7206
Tl 0.8985 0.0000 0.0000
In 0.0000 0.2506 0.2506
In 0.5000 0.5988 0.5988
I 0.0000 0.8866 0.8866
I 0.0651 0.6633 0.6633
I 0.1368 0.3626 0.3626
I 0.2104 0.0700 0.0700
I 0.2893 0.7790 0.7790
I 0.3625 0.4861 0.4861
I 0.4347 0.1860 0.1860
I 0.5000 0.9628 0.9628
I 0.5653 0.1860 0.1860
I 0.6375 0.4861 0.4861
I 0.7107 0.7790 0.7790
I 0.7896 0.0700 0.0700
I 0.8632 0.3626 0.3626
I 0.9349 0.6633 0.6633

6.
DFT (PBE) results for a relaxed structure of TlInI.

Calculated values
Theoretical density = 6.87 Mg/m³
ΔE to the lowest computed polymorph = 55 meV per atom
Space-group type = No. 6

a = 4.3266 Å, b = 4.4714 Å, c = 11.1521 Å
α = 90.00°, β = 90.01°, γ = 90.00°
Fractional coordinates of all 6 atoms:
Tl 0.0000 0.0000 0.0000
Tl 0.0046 0.0000 0.6480
In 0.0023 0.0000 0.3565
In 0.5027 0.5000 0.4476
I 0.5006 0.5000 0.1534
I 0.5041 0.5000 0.7869

7.
DFT (PBE) results for a relaxed structure of TlIn2I.

Calculated values
Theoretical density = 5.15 Mg/m³
ΔE to the lowest computed polymorph = 132 meV per atom
Space-group type = No. 122

a = 8.9484 Å, b = 8.9484 Å, c = 8.9484 Å
α = 134.24°, β = 134.24°, γ = 66.72°
Fractional coordinates of all 8 atoms:
Tl 0.0000 0.0000 0.0000
Tl 0.7500 0.2500 0.5000
In 0.0802 0.6250 0.9552
In 0.3750 0.3302 0.4552
In 0.6698 0.1250 0.0448
In 0.8750 0.9198 0.5448
I 0.2500 0.7500 0.5000
I 0.5000 0.5000 0.0000

8.
DFT (PBE) results for a relaxed structure of Tl2In2I5.

Calculated values
Theoretical density = 4.85 Mg/m³
ΔE to the lowest computed polymorph = 0 meV per atom
Space-group type = No. 46

a = 13.1293 Å, b = 13.1293 Å, c = 13.1293 Å
α = 55.65°, β = 141.74°, γ = 141.17°
Fractional coordinates of all 18 atoms:
Tl 0.0409 0.1077 0.1486
Tl 0.0409 0.3923 0.4332
Tl 0.9591 0.6077 0.5668
Tl 0.9591 0.8923 0.8514
In 0.4117 0.4117 0.0000
In 0.4117 0.9117 0.5000
In 0.5242 0.8243 0.2000
In 0.6243 0.3243 0.8000
I 0.0568 0.7151 0.8418
I 0.3095 0.0182 0.5575
I 0.3095 0.2520 0.7913
I 0.4222 0.1481 0.2392
I 0.4222 0.6830 0.7741
I 0.4607 0.5182 0.2087
I 0.4607 0.7520 0.4425
I 0.8733 0.2151 0.1582
I 0.9089 0.1830 0.7608
I 0.9089 0.6481 0.2259

9.
DFT (PBE) results for a relaxed structure of Tl3In2I5.

Calculated values
Theoretical density = 5.57 Mg/m³
Total DFT energy (no corrections) = -2.6133 eV per atom
Space-group type = No. 2

a = 4.9977 Å, b = 8.6392 Å, c = 11.1715 Å
α = 75.12°, β = 77.15°, γ = 73.22°
Fractional coordinates of all 10 atoms:
Tl 0.0000 0.0000 0.0000
Tl 0.2040 0.3960 0.2001
Tl 0.7960 0.6040 0.7999
In 0.4033 0.7969 0.4016
In 0.5967 0.2031 0.5984
I 0.0000 0.5000 0.5000
I 0.1976 0.9046 0.6971
I 0.4003 0.3009 0.8979
I 0.5997 0.6991 0.1021
I 0.8024 0.0954 0.3029

10.
DFT (PBE) results for a relaxed structure of Tl5In3I12.

Calculated values
Theoretical density = 4.90 Mg/m³
Total DFT energy (no corrections) = -2.3095 eV per atom
Space-group type = No. 230

a = 17.1954 Å, b = 17.1954 Å, c = 17.1954 Å
α = 109.47°, β = 109.47°, γ = 109.47°
Fractional coordinates of all 80 atoms:
Tl 0.0000 0.0000 0.0000
Tl 0.0000 0.0000 0.5000
Tl 0.0000 0.5000 0.0000
Tl 0.0000 0.5000 0.5000
Tl 0.1250 0.7500 0.8750
Tl 0.1250 0.8750 0.2500
Tl 0.2500 0.1250 0.8750
Tl 0.2500 0.6250 0.3750
Tl 0.3750 0.2500 0.6250
Tl 0.3750 0.6250 0.7500
Tl 0.5000 0.0000 0.0000
Tl 0.5000 0.0000 0.5000
Tl 0.5000 0.5000 0.0000
Tl 0.5000 0.5000 0.5000
Tl 0.6250 0.3750 0.2500
Tl 0.6250 0.7500 0.3750
Tl 0.7500 0.3750 0.6250
Tl 0.7500 0.8750 0.1250
Tl 0.8750 0.1250 0.7500
Tl 0.8750 0.2500 0.1250
In 0.1250 0.2500 0.3750
In 0.1250 0.3750 0.7500
In 0.2500 0.3750 0.1250
In 0.2500 0.8750 0.6250
In 0.3750 0.1250 0.2500
In 0.3750 0.7500 0.1250
In 0.6250 0.2500 0.8750
In 0.6250 0.8750 0.7500
In 0.7500 0.1250 0.3750
In 0.7500 0.6250 0.8750
In 0.8750 0.6250 0.2500
In 0.8750 0.7500 0.6250
I 0.0400 0.2241 0.1275
I 0.0400 0.3159 0.9125
I 0.0875 0.6275 0.4034
I 0.0875 0.9600 0.6841
I 0.0966 0.7241 0.6841
I 0.0966 0.8725 0.4125
I 0.1275 0.0400 0.2241
I 0.1275 0.5875 0.9034
I 0.1841 0.2241 0.5966
I 0.1841 0.4600 0.5875
I 0.2241 0.1275 0.0400
I 0.2241 0.5966 0.1841
I 0.2759 0.3159 0.9034
I 0.2759 0.4600 0.3725
I 0.3159 0.9034 0.2759
I 0.3159 0.9125 0.0400
I 0.3725 0.2759 0.4600
I 0.3725 0.5966 0.9125
I 0.4034 0.0875 0.6275
I 0.4034 0.8159 0.7759
I 0.4125 0.0966 0.8725
I 0.4125 0.8159 0.5400
I 0.4600 0.3725 0.2759
I 0.4600 0.5875 0.1841
I 0.5400 0.4125 0.8159
I 0.5400 0.6275 0.7241
I 0.5875 0.1841 0.4600
I 0.5875 0.9034 0.1275
I 0.5966 0.1841 0.2241
I 0.5966 0.9125 0.3725
I 0.6275 0.4034 0.0875
I 0.6275 0.7241 0.5400
I 0.6841 0.0875 0.9600
I 0.6841 0.0966 0.7241
I 0.7241 0.5400 0.6275
I 0.7241 0.6841 0.0966
I 0.7759 0.4034 0.8159
I 0.7759 0.8725 0.9600
I 0.8159 0.5400 0.4125
I 0.8159 0.7759 0.4034
I 0.8725 0.4125 0.0966
I 0.8725 0.9600 0.7759
I 0.9034 0.1275 0.5875
I 0.9034 0.2759 0.3159
I 0.9125 0.0400 0.3159
I 0.9125 0.3725 0.5966
I 0.9600 0.6841 0.0875
I 0.9600 0.7759 0.8725

11.
DFT (PBE) results for a relaxed structure of Tl2In3I6.

Calculated values
Theoretical density = 5.14 Mg/m³
Total DFT energy (no corrections) = -2.5119 eV per atom
Space-group type = No. 12

a = 8.4333 Å, b = 8.4333 Å, c = 8.4156 Å
α = 98.62°, β = 98.62°, γ = 120.96°
Fractional coordinates of all 11 atoms:
Tl 0.1615 0.8385 0.0000
Tl 0.8385 0.1615 0.0000
In 0.0000 0.0000 0.5000
In 0.3400 0.6600 0.5000
In 0.6600 0.3400 0.5000
I 0.0656 0.4191 0.7319
I 0.2659 0.2659 0.2487
I 0.4191 0.0656 0.7319
I 0.5809 0.9344 0.2681
I 0.7341 0.7341 0.7513
I 0.9344 0.5809 0.2681

12.
DFT (PBE) results for a relaxed structure of TlIn5I7.

Calculated values
Theoretical density = 5.01 Mg/m³
Total DFT energy (no corrections) = -2.5351 eV per atom
Space-group type = No. 8

a = 8.2388 Å, b = 8.2388 Å, c = 29.0110 Å
α = 90.06°, β = 90.06°, γ = 34.14°
Fractional coordinates of all 26 atoms:
Tl 0.0000 0.0000 0.0000
Tl 0.5761 0.5761 0.5004
In 0.0581 0.0581 0.3256
In 0.0575 0.0575 0.6744
In 0.2518 0.2518 0.1010
In 0.2522 0.2522 0.8991
In 0.3235 0.3235 0.6009
In 0.3248 0.3248 0.3991
In 0.5184 0.5184 0.1744
In 0.5190 0.5190 0.8258
In 0.7881 0.7881 0.2500
In 0.7885 0.7885 0.7501
I 0.1529 0.1529 0.2135
I 0.1532 0.1532 0.7865
I 0.2388 0.2388 0.4999
I 0.3373 0.3373 0.0001
I 0.4234 0.4234 0.2863
I 0.4234 0.4234 0.7136
I 0.6083 0.6083 0.0740
I 0.6089 0.6089 0.9263
I 0.6902 0.6902 0.6418
I 0.6912 0.6912 0.3580
I 0.8855 0.8855 0.1417
I 0.8859 0.8859 0.8584
I 0.9671 0.9671 0.5741
I 0.9686 0.9686 0.4261